DFT (PBE-GGA) results for a relaxed TlCuBr4 crystal.

Properties
- Symmetry: No. 112
- Raw total energy: -2.62 eV per atom

abc: 6.1946 6.1946 11.3161
angles: 90.00 90.00 90.00
Closest atoms and distances in Å follow each position.
Atoms (fractional coordinates):
Tl (0.0000, 0.0000, 0.0000)  4 Br 2.70
Tl (0.0000, 0.0000, 0.5000)  4 Br 2.70
Cu (0.0000, 0.5000, 0.2500)  4 Br 2.44
Cu (0.5000, 0.0000, 0.7500)  4 Br 2.44
Br (0.2383, 0.2742, 0.3684)  1 Cu 2.44, 1 Tl 2.70
Br (0.2383, 0.7258, 0.1316)  1 Cu 2.44, 1 Tl 2.70
Br (0.2742, 0.2383, 0.8684)  1 Cu 2.44, 1 Tl 2.70
Br (0.2742, 0.7617, 0.6316)  1 Cu 2.44, 1 Tl 2.70
Br (0.7258, 0.2383, 0.6316)  1 Cu 2.44, 1 Tl 2.70
Br (0.7258, 0.7617, 0.8684)  1 Cu 2.44, 1 Tl 2.70
Br (0.7617, 0.2742, 0.1316)  1 Cu 2.44, 1 Tl 2.70
Br (0.7617, 0.7258, 0.3684)  1 Cu 2.44, 1 Tl 2.70

---

DFT (PBE-GGA) results for a relaxed Tl4CuBr5 crystal.

Properties
- Symmetry: No. 79
- Raw total energy: -2.87 eV per atom

abc: 7.9116 7.9116 7.9116
angles: 100.27 100.27 130.06
Closest atoms and distances in Å follow each position.
Atoms (fractional coordinates):
Tl (0.0912, 0.6955, 0.7867)  5 Br 3.22-3.46
Tl (0.3045, 0.0912, 0.3957)  5 Br 3.22-3.46
Tl (0.6955, 0.9088, 0.6043)  5 Br 3.22-3.46
Tl (0.9088, 0.3045, 0.2133)  5 Br 3.22-3.46
Cu (0.4345, 0.4345, 0.0000)  5 Br 2.52-2.71
Br (0.0579, 0.0579, 0.0000)  1 Cu 2.52
Br (0.2644, 0.4145, 0.6602)  1 Cu 2.71
Br (0.4145, 0.7544, 0.1501)  1 Cu 2.71
Br (0.6042, 0.2644, 0.8499)  1 Cu 2.71
Br (0.7544, 0.6042, 0.3398)  1 Cu 2.71

---

DFT (PBE-GGA) results for a relaxed TlCuBr4 crystal.

Properties
- Symmetry: No. 216
- Raw total energy: -1.73 eV per atom

abc: 6.4878 6.4878 6.4878
angles: 60.00 60.00 60.00
Closest atoms and distances in Å follow each position.
Atoms (fractional coordinates):
Tl (0.0000, 0.0000, 0.0000)  12 Br 3.81, 4 Cu 3.97
Cu (0.2500, 0.2500, 0.2500)  12 Br 3.80, 4 Tl 3.97
Br (0.1266, 0.6245, 0.6245)  6 Br 3.23-3.26
Br (0.6245, 0.1266, 0.6245)  6 Br 3.23-3.26
Br (0.6245, 0.6245, 0.1266)  6 Br 3.23-3.26
Br (0.6245, 0.6245, 0.6245)  6 Br 3.23-3.26

---

DFT (PBE-GGA) results for a relaxed Tl2CuBr crystal.

Properties
- Symmetry: No. 44
- Energy relative to the lowest polymorph listed for this composition: 0.0639 eV per atom

abc: 6.2640 6.2640 6.2640
angles: 146.92 125.93 64.87
Closest atoms and distances in Å follow each position.
Atoms (fractional coordinates):
Tl (0.0000, 0.0000, 0.0000)  4 Cu 3.36, 4 Br 3.48-3.73, 6 Tl 3.57-3.59
Tl (0.7049, 0.2049, 0.5000)  2 Cu 2.90
Cu (0.4890, 0.4890, 0.0000)  2 Br 2.60, 2 Tl 2.90
Br (0.3100, 0.8100, 0.5000)  2 Cu 2.60

---

DFT (PBE-GGA) results for a relaxed Tl3Cu2Br7 crystal.

Properties
- Symmetry: No. 139
- Energy relative to the lowest polymorph listed for this composition: 0.0000 eV per atom

abc: 13.6903 13.6903 13.6903
angles: 158.10 158.10 31.16
Closest atoms and distances in Å follow each position.
Atoms (fractional coordinates):
Tl (0.0000, 0.0000, 0.0000)  12 Br 3.59-3.68
Tl (0.1797, 0.1797, 0.0000)  9 Br 3.36-3.69
Tl (0.8203, 0.8203, 0.0000)  9 Br 3.36-3.69
Cu (0.4023, 0.4023, 0.0000)  6 Br 2.51-2.60
Cu (0.5977, 0.5977, 0.0000)  6 Br 2.51-2.60
Br (0.0940, 0.5940, 0.5000)  2 Cu 2.60
Br (0.3071, 0.3071, 0.0000)  1 Cu 2.51
Br (0.4060, 0.9060, 0.5000)  2 Cu 2.60
Br (0.5000, 0.5000, 0.0000)  2 Cu 2.58
Br (0.5940, 0.0940, 0.5000)  2 Cu 2.60
Br (0.6929, 0.6929, 0.0000)  1 Cu 2.51
Br (0.9060, 0.4060, 0.5000)  2 Cu 2.60

---

DFT (PBE-GGA) results for a relaxed Tl3CuBr crystal.

Properties
- Symmetry: No. 221
- Energy relative to the lowest polymorph listed for this composition: 0.5517 eV per atom

abc: 6.1036 6.1036 6.1036
angles: 90.00 90.00 90.00
Closest atoms and distances in Å follow each position.
Atoms (fractional coordinates):
Tl (0.0000, 0.0000, 0.5000)  2 Br 3.05
Tl (0.0000, 0.5000, 0.0000)  2 Br 3.05
Tl (0.5000, 0.0000, 0.0000)  2 Br 3.05
Cu (0.5000, 0.5000, 0.5000)  12 Tl 4.32
Br (0.0000, 0.0000, 0.0000)  6 Tl 3.05

---

DFT (PBE-GGA) results for a relaxed Tl2CuBr crystal.

Properties
- Symmetry: No. 12
- Energy relative to the lowest polymorph listed for this composition: 0.0293 eV per atom

abc: 4.1601 4.1601 7.8349
angles: 105.09 105.09 59.69
Closest atoms and distances in Å follow each position.
Atoms (fractional coordinates):
Tl (0.2339, 0.2339, 0.2018)  3 Cu 2.83
Tl (0.7661, 0.7661, 0.7982)  3 Cu 2.83
Cu (0.5000, 0.5000, 0.0000)  6 Tl 2.83
Br (0.0000, 0.0000, 0.5000)  6 Tl 3.27-3.28

---

DFT (PBE-GGA) results for a relaxed TmTl2CuBr6 crystal.

Properties
- Symmetry: No. 14
- Raw total energy: -3.45 eV per atom

abc: 7.8746 9.0249 12.3072
angles: 90.00 128.61 90.00
Closest atoms and distances in Å follow each position.
Atoms (fractional coordinates):
Tm (0.0000, 0.0000, 0.0000)  6 Br 2.75-2.85
Tm (0.0000, 0.5000, 0.5000)  6 Br 2.75-2.85
Tl (0.2827, 0.0979, 0.7492)  8 Br 3.32-3.71
Tl (0.2827, 0.4021, 0.2492)  8 Br 3.32-3.71
Tl (0.7173, 0.5979, 0.7508)  8 Br 3.32-3.71
Tl (0.7173, 0.9021, 0.2508)  8 Br 3.32-3.71
Cu (0.5000, 0.0000, 0.5000)  2 Br 2.30
Cu (0.5000, 0.5000, 0.0000)  2 Br 2.30
Br (0.1738, 0.0358, 0.2828)  1 Cu 2.30
Br (0.1738, 0.4642, 0.7828)  1 Cu 2.30
Br (0.2190, 0.7384, 0.0532)  1 Tm 2.75
Br (0.2190, 0.7616, 0.5532)  1 Tm 2.75
Br (0.3406, 0.1556, 0.0472)  1 Tm 2.75
Br (0.3406, 0.3444, 0.5472)  1 Tm 2.75
Br (0.6594, 0.6556, 0.4528)  1 Tm 2.75
Br (0.6594, 0.8444, 0.9528)  1 Tm 2.75
Br (0.7810, 0.2384, 0.4468)  1 Tm 2.75
Br (0.7810, 0.2616, 0.9468)  1 Tm 2.75
Br (0.8262, 0.5358, 0.2172)  1 Cu 2.30
Br (0.8262, 0.9642, 0.7172)  1 Cu 2.30

---

DFT (PBE-GGA) results for a relaxed UTl2CuBr8 crystal.

Properties
- Symmetry: No. 2
- Raw total energy: -3.73 eV per atom

abc: 6.8599 6.9529 10.4792
angles: 89.96 89.84 79.56
Closest atoms and distances in Å follow each position.
Atoms (fractional coordinates):
U (0.0000, 0.0000, 0.0000)  6 Br 2.69-2.71
Tl (0.4990, 0.5009, 0.7244)  4 Br 3.24-3.46
Tl (0.5010, 0.4991, 0.2756)  4 Br 3.24-3.46
Cu (0.0000, 0.0000, 0.5000)  2 Br 2.26
Br (0.1225, 0.2191, 0.1849)  1 U 2.69
Br (0.1247, 0.2169, 0.8140)  1 U 2.69
Br (0.2905, 0.7849, 0.4995)  1 Cu 2.26
Br (0.3598, 0.7631, 0.0006)  1 U 2.71
Br (0.6402, 0.2369, 0.9994)  1 U 2.71
Br (0.7095, 0.2151, 0.5005)  1 Cu 2.26
Br (0.8753, 0.7831, 0.1860)  1 U 2.69
Br (0.8775, 0.7809, 0.8151)  1 U 2.69

---

DFT (PBE-GGA) results for a relaxed TlVCuBr6 crystal.

Properties
- Symmetry: No. 1
- Raw total energy: -3.50 eV per atom

abc: 6.6702 6.6856 7.2236
angles: 92.14 92.62 115.92
Closest atoms and distances in Å follow each position.
Atoms (fractional coordinates):
Tl (0.0000, 0.0000, 0.0000)  6 Br 3.30-3.42
V (0.6626, 0.3390, 0.5016)  6 Br 2.44-2.61
Cu (0.3263, 0.6903, 0.4919)  4 Br 2.49-2.52
Br (0.3653, 0.0361, 0.6725)  1 Cu 2.52, 1 V 2.54
Br (0.3666, 0.3960, 0.2918)  1 Cu 2.51, 1 V 2.60
Br (0.6055, 0.6402, 0.7028)  1 Cu 2.50, 1 V 2.61
Br (0.6344, 0.0412, 0.2761)  1 V 2.46
Br (0.9555, 0.3698, 0.7328)  1 V 2.44
Br (0.9677, 0.6305, 0.3249)  1 Cu 2.49, 1 V 2.55